Tb5Pm2Tm4 | GGA-PBE | optimized geometry

The structure in extended XYZ format:
```
11
Lattice="-1.671 1.053 6.336 2.347 -6.810 5.227 7.644 -2.887 5.972" Properties=species:S:1:pos:R:3 pbc="T T T"
Tb 4.996 -4.849 5.600
Tb 6.485 -3.777 10.928
Tb 1.048 -4.371 9.592
Tb 1.835 -4.867 6.607
Tb 7.272 -4.274 7.942
Tm 4.093 -2.660 8.473
Tm 6.513 -6.156 13.169
Tm 1.808 -2.488 4.366
Tm 4.227 -5.984 9.061
Pm 7.112 -7.917 10.144
Pm 1.209 -0.727 7.391
```

Computed properties:
DFT total energy: -48.730 eV for the cell shown
space-group type: C2/m, No. 12
excess energy over the best structure of this formula in the dataset: 0.014 eV per atom
energy relative to the elements: 0.164 eV/atom
V: 357.0 Å³/f.u.
density: 8.19 g cm⁻³

***

TlFeAs2 | GGA-PBE | optimized geometry

The structure in extended XYZ format:
```
4
Lattice="-7.847 -4.311 -2.053 -5.786 -5.947 -3.942 -6.142 -6.780 -0.832" Properties=species:S:1:pos:R:3 pbc="T T T"
Fe -4.944 -4.259 -1.707
As -10.383 -8.946 -3.584
As -19.279 -16.611 -6.655
Tl -14.831 -12.778 -5.120
```

Computed properties:
DFT total energy: -19.945 eV for the cell shown
space-group type: R-3m, No. 166
excess energy over the best structure of this formula in the dataset: 0.010 eV per atom
energy relative to the elements: 0.046 eV/atom
V: 81.7 Å³/f.u.
density: 8.33 g cm⁻³

***

LiHf2VW | GGA-PBE | optimized geometry

The structure in extended XYZ format:
```
5
Lattice="-1.745 2.611 3.816 -4.099 0.405 -2.150 -1.541 -4.174 2.151" Properties=species:S:1:pos:R:3 pbc="T T T"
Hf -0.771 -2.087 1.076
Hf -0.872 1.306 1.908
W 0.000 0.000 0.000
Li -2.049 0.202 -1.075
V -3.692 -0.579 1.909
```

Computed properties:
DFT total energy: -36.586 eV for the cell shown
space-group type: P4/mmm, No. 123
energy relative to the elements: 1.461 eV/atom
V: 113.5 Å³/f.u.
density: 8.76 g cm⁻³